1.
Here is Rb2NdSbSe4 after structural relaxation from the Alexandria database. Energies are from PBE-GGA.

Computed properties:
- total energy (eV for the cell shown) = -68.16
- volume (Å³/cell) = 515.3
- space-group type = Imma, No. 74

Cell lengths 8.999, 8.999, 8.999 Å; angles 120.05, 119.95, 90.00 degrees
Atoms (fractional coordinates):
1 Rb 0.000 0.000 0.000
2 Rb 0.500 0.000 0.000
3 Rb 0.500 0.000 0.500
4 Rb 0.500 0.500 0.500
5 Nd 0.000 0.500 0.500
6 Nd 0.500 0.500 0.000
7 Sb 0.000 0.000 0.500
8 Sb 0.000 0.500 0.000
9 Se 0.201 0.735 0.466
10 Se 0.230 0.265 0.966
11 Se 0.232 0.261 0.529
12 Se 0.232 0.702 0.971
13 Se 0.768 0.298 0.029
14 Se 0.768 0.739 0.471
15 Se 0.770 0.735 0.034
16 Se 0.799 0.265 0.534



2.
Here is Rb2NdSbTe4 after structural relaxation from the Alexandria database. Energies are from PBE-GGA.

Computed properties:
- total energy (eV for the cell shown) = -31.03
- volume (Å³/cell) = 315.5
- space-group type = P2/m, No. 10

Cell lengths 8.029, 4.601, 8.937 Å; angles 90.00, 107.16, 90.00 degrees
Atoms (fractional coordinates):
1 Rb 0.000 0.000 0.000
2 Rb 0.500 0.500 0.000
3 Nd 0.000 0.500 0.500
4 Sb 0.500 0.000 0.500
5 Te 0.241 0.000 0.702
6 Te 0.273 0.500 0.302
7 Te 0.727 0.500 0.698
8 Te 0.759 0.000 0.298



3.
Here is Rb3NdSb2Te6 after structural relaxation from the Alexandria database. Energies are from PBE-GGA.

Computed properties:
- total energy (eV for the cell shown) = -44.48
- volume (Å³/cell) = 469.3
- space-group type = C2/m, No. 12

Cell lengths 7.961, 7.961, 8.953 Å; angles 98.54, 98.54, 120.00 degrees
Atoms (fractional coordinates):
1 Rb 0.000 0.000 0.000
2 Rb 0.335 0.665 0.000
3 Rb 0.665 0.335 0.000
4 Nd 0.500 0.500 0.500
5 Sb 0.167 0.833 0.500
6 Sb 0.833 0.167 0.500
7 Te 0.092 0.434 0.301
8 Te 0.225 0.225 0.698
9 Te 0.434 0.092 0.301
10 Te 0.566 0.908 0.699
11 Te 0.775 0.775 0.302
12 Te 0.908 0.566 0.699



Question: What is the formula in the third record?
Answer: Rb3NdSb2Te6



Question: Which of these has the lowest volume?
Answer: Rb2NdSbTe4



Question: volume of number 1 (Rb2NdSbSe4)?
Answer: 515.3 Å³/cell



Question: Number 3 is which compound?
Answer: Rb3NdSb2Te6